# ZnGaSe

Crystalline ZnGaSe at its relaxed geometry (PBE-GGA, Alexandria via LeMat-Bulk).

a b c (Å): 4.343 9.840 6.361
angles (deg): 90.00 90.00 90.00
Atoms (fractional coordinates):
Se 0.000 0.195 0.268
Ga 0.000 0.500 0.218
Ga 0.500 0.500 0.039
Zn 0.000 0.631 0.576
Se 0.000 0.805 0.268
Se 0.500 0.695 0.768
Zn 0.000 0.369 0.576
Zn 0.500 0.869 0.076
Se 0.500 0.305 0.768
Zn 0.500 0.131 0.076
Ga 0.000 0.000 0.539
Ga 0.500 0.000 0.718

Uncorrected energy: -0.2149 Ry per atom
Uncorrected formation energy: -0.33 eV/atom
Volume: 271.85 Å³ per cell
Relative energy among the computed polymorphs: 0 meV/atom


# FeSb

Crystalline FeSb at its relaxed geometry (PBE-GGA, Alexandria via LeMat-Bulk).

a b c (Å): 3.984 8.362 6.614
angles (deg): 90.00 90.00 90.00
Last column: magnetic moment on the atom in μB.
Atoms (fractional coordinates):
Sb 0.500 0.500 0.368  -0.07
Sb 0.000 0.178 0.244  -0.05
Fe 0.500 0.190 0.532  2.26
Fe 0.500 0.690 0.032  2.26
Fe 0.000 0.500 0.082  2.23
Sb 0.000 0.322 0.744  -0.05
Fe 0.000 0.000 0.582  2.23
Sb 0.000 0.678 0.744  -0.05
Fe 0.500 0.310 0.032  2.26
Sb 0.500 0.000 0.868  -0.07
Sb 0.000 0.822 0.244  -0.05
Fe 0.500 0.810 0.532  2.26

Uncorrected energy: -0.4485 Ry per atom
Uncorrected formation energy: 0.19 eV/atom
Volume: 220.32 Å³ per cell


# TiAlSe3

Crystalline TiAlSe3 at its relaxed geometry (PBE-GGA, Alexandria via LeMat-Bulk).

a b c (Å): 4.978 4.978 4.978
angles (deg): 90.00 90.00 90.00
Atoms (fractional coordinates):
Ti 0.000 0.000 0.000
Se 0.000 0.000 0.500
Al 0.500 0.500 0.500
Se 0.500 0.000 0.000
Se 0.000 0.500 0.000

Uncorrected energy: -0.3481 Ry per atom
Uncorrected formation energy: -0.32 eV/atom
Volume: 123.38 Å³ per cell
Relative energy among the computed polymorphs: 474 meV/atom


- Which of these has the lowest uncorrected formation energy?
  ZnGaSe